Below is CrFe2Te after structural relaxation, with properties calculated at the GGA-PBE level. Values from VASP.

Output
Total magnetic moment, μB/atom: 1.089
Energy above the most stable polymorph in this dataset, meV/atom: 32
D(E_F), states/eV per atom: 1.203
Formation energy from raw total energies, meV/atom: 370
Calculated total energy, eV/atom: -7.052

Structure (Quantum ESPRESSO input):
```
&SYSTEM
  ibrav = 0, nat = 4, ntyp = 3
/
ATOMIC_SPECIES
Te 127.60 Te.upf
Fe 55.84 Fe.upf
Cr 52.00 Cr.upf
ATOMIC_POSITIONS crystal
Te 0.750 0.750 0.750
Fe 0.000 0.000 0.000
Cr 0.500 0.500 0.500
Fe 0.250 0.250 0.250
CELL_PARAMETERS angstrom
4.251 0.000 0.000
2.126 3.682 0.000
2.126 1.227 3.471
```

---

Below is CrFeTe after structural relaxation, with properties calculated at the GGA-PBE level. Values from VASP.

Output
Total magnetic moment, μB/atom: 0.667
Energy above the most stable polymorph in this dataset, meV/atom: 0
D(E_F), states/eV per atom: 1.068
Formation energy from raw total energies, meV/atom: 121
Calculated total energy, eV/atom: -6.955

Structure (Quantum ESPRESSO input):
```
&SYSTEM
  ibrav = 0, nat = 3, ntyp = 3
/
ATOMIC_SPECIES
Cr 52.00 Cr.upf
Te 127.60 Te.upf
Fe 55.84 Fe.upf
ATOMIC_POSITIONS crystal
Cr 0.250 0.250 0.250
Te 0.750 0.750 0.750
Fe 0.000 0.000 0.000
CELL_PARAMETERS angstrom
-4.093 0.381 0.536
-2.476 -3.277 -0.554
-1.838 -1.783 3.259
```